# 1
DFT (PBE-GGA) results for crystalline BeReNO at its relaxed geometry.

Properties
- Total energy: -7.84 eV/atom
- Offset from the most stable computed form: 366 meV per atom

Lattice parameters (Å, degrees): 3.6715 3.6715 5.7764 90.00 90.00 90.00
Last column: nearest neighbours and their distance in Å.
Sites, in units of the cell vectors:
O 0.7500 0.2500 0.0000  4 Be 1.85
O 0.2500 0.7500 0.0000  4 Be 1.85
N 0.2500 0.2500 0.6626  1 Be 1.72
N 0.7500 0.7500 0.3374  1 Be 1.72
Be 0.7500 0.7500 0.0390  1 N 1.72, 4 O 1.85
Be 0.2500 0.2500 0.9610  1 N 1.72, 4 O 1.85
Re 0.2500 0.7500 0.5000  4 N 2.06
Re 0.7500 0.2500 0.5000  4 N 2.06

# 2
DFT (PBE-GGA) results for crystalline BeReNO at its relaxed geometry.

Properties
- Total energy: -8.21 eV/atom
- Offset from the most stable computed form: 0 meV per atom

Lattice parameters (Å, degrees): 2.7592 4.7639 5.6249 90.00 90.00 90.00
Last column: nearest neighbours and their distance in Å.
Sites, in units of the cell vectors:
O 0.5000 0.3666 0.1375  2 Be 1.63-1.68
O 0.5000 0.8666 0.8625  2 Be 1.63-1.68
Be 0.5000 0.0147 0.1240  2 O 1.63-1.68, 2 N 1.70
Be 0.5000 0.5147 0.8760  2 O 1.63-1.68, 2 N 1.70
N 0.0000 0.3847 0.7365  2 Be 1.70
N 0.0000 0.8847 0.2635  2 Be 1.70
Re 0.0000 0.9881 0.5977  2 N 1.94-2.04, 2 O 2.11
Re 0.0000 0.4881 0.4023  2 N 1.94-2.04, 2 O 2.11

# 3
DFT (PBE-GGA) results for crystalline TaBeNO2 at its relaxed geometry.

Properties
- Total energy: -8.42 eV/atom

Lattice parameters (Å, degrees): 3.1599 3.1591 4.4797 90.00 90.13 90.00
Last column: nearest neighbours and their distance in Å.
Sites, in units of the cell vectors:
Be 0.5017 0.0000 0.4337  1 N 1.70, 4 O 1.70-1.71
O 0.0016 0.0000 0.2906  2 Be 1.70-1.71
O 0.5014 0.5000 0.2903  2 Be 1.71
Ta 0.0001 0.5000 0.9998  4 O 2.05
N 0.5031 0.0000 0.8138  1 Be 1.70

# 4
DFT (PBE-GGA) results for crystalline TbBeNO at its relaxed geometry.

Properties
- Total energy: -7.44 eV/atom
- Offset from the most stable computed form: 103 meV per atom

Lattice parameters (Å, degrees): 3.2191 5.2118 5.3159 90.00 90.00 90.00
Last column: nearest neighbours and their distance in Å.
Sites, in units of the cell vectors:
Be 0.0000 0.3021 0.0006  2 N 1.67-1.71, 2 O 1.82
Be 0.0000 0.6979 0.5006  2 N 1.67-1.71, 2 O 1.82
Tb 0.5000 0.2820 0.4751  2 O 2.25-2.44, 4 N 2.33-2.43
Tb 0.5000 0.7180 0.9751  2 O 2.25-2.44, 4 N 2.33-2.43
N 0.0000 0.5292 0.2334  2 Be 1.67-1.71
N 0.0000 0.4708 0.7334  2 Be 1.67-1.71
O 0.5000 0.1446 0.0369  2 Be 1.82
O 0.5000 0.8554 0.5369  2 Be 1.82

# 5
DFT (PBE-GGA) results for crystalline TbBeNO at its relaxed geometry.

Properties
- Total energy: -6.93 eV/atom
- Offset from the most stable computed form: 610 meV per atom

Lattice parameters (Å, degrees): 4.5701 4.5701 4.6554 90.00 90.00 90.00
Last column: nearest neighbours and their distance in Å.
Sites, in units of the cell vectors:
N 0.7500 0.7500 0.4178  1 Be 1.57
N 0.2500 0.2500 0.5822  1 Be 1.57
Be 0.2500 0.2500 0.9194  1 N 1.57
Be 0.7500 0.7500 0.0806  1 N 1.57
O 0.7500 0.2500 0.0000  4 Be 2.32, 2 Tb 2.33
O 0.2500 0.7500 0.0000  4 Be 2.32, 2 Tb 2.33
Tb 0.7500 0.2500 0.5000  4 N 2.32, 2 O 2.33
Tb 0.2500 0.7500 0.5000  4 N 2.32, 2 O 2.33

# 6
DFT (PBE-GGA) results for crystalline TbBeNO at its relaxed geometry.

Properties
- Total energy: -7.23 eV/atom
- Offset from the most stable computed form: 312 meV per atom

Lattice parameters (Å, degrees): 3.4925 3.4925 7.2768 90.00 90.00 90.00
Last column: nearest neighbours and their distance in Å.
Sites, in units of the cell vectors:
Tb 0.5000 0.0000 0.8250  4 O 2.16
Tb 0.0000 0.5000 0.1750  4 O 2.16
O 0.0000 0.0000 0.0000  4 Tb 2.16
O 0.5000 0.5000 0.0000  4 Tb 2.16
N 0.5000 0.0000 0.4072  4 Be 1.87
N 0.0000 0.5000 0.5928  4 Be 1.87
Be 0.0000 0.0000 0.5000  4 N 1.87
Be 0.5000 0.5000 0.5000  4 N 1.87